Record 1
Computed, not measured: an optimized crystal structure of PrCuAu at the PBE level of DFT.

## Properties
ΔH_f (0 K)   -0.521 eV/atom
Distance to the lowest polymorph of the same formula   0.0000 eV per atom

POSCAR file:
```
PrCuAu
1.0
4.502 0.000 0.000
-2.251 3.899 0.000
0.000 0.000 3.837
Pr Cu Au
1 1 1
direct
0.000 0.000 0.000
0.667 0.333 0.500
0.333 0.667 0.500
```


Record 2
Computed, not measured: an optimized crystal structure of Ac2SmRh4Pb3 at the PBE level of DFT.

## Properties
ΔH_f (0 K)   -0.498 eV/atom

POSCAR file:
```
Ac2SmRh4Pb3
1.0
4.570 0.000 0.000
0.000 4.570 0.000
0.000 0.000 11.905
Ac Sm Rh Pb
2 1 4 3
direct
0.000 0.500 0.235
0.500 0.000 0.765
0.000 0.000 0.500
0.000 0.000 0.000
0.000 0.500 0.647
0.500 0.000 0.353
0.500 0.500 0.000
0.000 0.500 0.876
0.500 0.000 0.124
0.500 0.500 0.500
```


Record 3
Computed, not measured: an optimized crystal structure of MgCuTc2 at the PBE level of DFT.

## Properties
ΔH_f (0 K)   0.167 eV/atom

POSCAR file:
```
MgCuTc2
1.0
2.820 0.000 0.000
0.000 3.756 0.000
0.000 0.000 5.675
Mg Cu Tc
1 1 2
direct
0.000 0.000 0.000
0.500 0.500 0.771
0.000 0.000 0.499
0.500 0.500 0.301
```


Record 4
Computed, not measured: an optimized crystal structure of Re2SiTc at the PBE level of DFT.

## Properties
Formation energy without anion corrections   0.0216 eV/atom

POSCAR file:
```
Re2SiTc
1.0
0.000 3.053 3.053
3.053 0.000 3.053
3.053 3.053 0.000
Re Si Tc
2 1 1
direct
0.000 0.000 0.000
0.250 0.250 0.250
0.500 0.500 0.500
0.750 0.750 0.750
```


Record 5
Computed, not measured: an optimized crystal structure of PrThAsP at the PBE level of DFT.

## Properties
ΔH_f (0 K)   -1.508 eV/atom

POSCAR file:
```
PrThAsP
1.0
4.214 0.000 0.000
0.000 4.214 0.000
0.000 0.000 5.986
Pr Th As P
1 1 1 1
direct
0.000 0.000 0.000
0.500 0.500 0.500
0.500 0.500 0.000
0.000 0.000 0.500
```


Record 6
Computed, not measured: an optimized crystal structure of Al2FeNi at the PBE level of DFT.

## Properties
ΔH_f (0 K)   -0.274 eV/atom

POSCAR file:
```
Al2FeNi
1.0
2.701 0.000 0.000
0.000 3.656 0.000
0.000 0.000 5.147
Al Fe Ni
2 1 1
direct
0.000 0.000 0.000
0.500 0.500 0.306
0.000 0.000 0.515
0.500 0.500 0.795
```


E readings, ordered: -13.72 -58.45 -25.76 -40.60 -28.29 -22.83 eV per cell